1.
Compound: Ca2AuN
Source: Alexandria via LeMat-Bulk
Functional: GGA-PBEsol
Structure: relaxed

Properties
Its crystal system is orthorhombic. The space group is No. 63. The calculation puts the total magnetization at 0.0 μB/f.u. The raw total energy comes out at -5.03 eV/atom.

Lattice parameters (Å, degrees): 3.4936 4.8807 9.1657 90.00 100.99 90.00
Sites, in units of the cell vectors:
Ca1 0.3962 0.7500 0.7924
Ca2 0.7846 0.2500 0.5691
Ca3 0.6038 0.2500 0.2076
Ca4 0.2154 0.7500 0.4309
Au1 0.0401 0.7500 0.0802
Au2 0.9599 0.2500 0.9198
N1 0.8068 0.7500 0.6136
N2 0.1932 0.2500 0.3864

2.
Compound: SnPdPt3
Source: Alexandria via LeMat-Bulk
Functional: GGA-PBEsol
Structure: relaxed

Properties
Its crystal system is cubic. The space group is No. 221. The calculation puts the total magnetization at 0.0 μB/f.u. The raw total energy comes out at -4.92 eV/atom.

Lattice parameters (Å, degrees): 4.8187 4.8187 4.8187 90.00 90.00 90.00
Sites, in units of the cell vectors:
Pt1 0.0000 0.5000 0.0000
Pt2 0.5000 0.0000 0.0000
Pt3 0.0000 0.0000 0.5000
Sn1 0.0000 0.0000 0.0000
Pd1 0.5000 0.5000 0.5000

3.
Compound: H3S
Source: Alexandria via LeMat-Bulk
Functional: GGA-PBEsol
Structure: relaxed

Properties
Its crystal system is triclinic. The space group is No. 1. The calculation puts the total magnetization at 0.0 μB/f.u. The raw total energy comes out at -3.66 eV/atom.

Lattice parameters (Å, degrees): 6.2316 7.5138 7.6229 89.75 89.81 89.93
Sites, in units of the cell vectors:
H1 0.4816 0.0638 0.1428
H2 0.5535 0.6065 0.9493
H3 0.0066 0.5116 0.5579
H4 0.2494 0.3224 0.1169
H5 0.4763 0.5084 0.6217
H6 0.4272 0.5786 0.5609
H7 0.0156 0.5883 0.6231
H8 0.9112 0.9005 0.5554
H9 0.5623 0.4864 0.2598
H10 0.2591 0.7767 0.0952
H11 0.0638 0.6475 0.2577
H12 0.9463 0.0044 0.1400
H13 0.7038 0.7664 0.7834
H14 0.7311 0.3192 0.1138
H15 0.2104 0.0549 0.8312
H16 0.9014 0.2148 0.6616
H17 0.2219 0.0323 0.3835
H18 0.3869 0.8917 0.6857
H19 0.5502 0.0097 0.0786
H20 0.7132 0.0513 0.4178
H21 0.3993 0.2088 0.5144
H22 0.7466 0.3953 0.8003
H23 0.0829 0.4643 0.9440
H24 0.9669 0.0796 0.0741
S1 0.7248 0.8757 0.4636
S2 0.7508 0.6858 0.9396
S3 0.2619 0.3595 0.9406
S4 0.7510 0.3941 0.2750
S5 0.2059 0.8782 0.7867
S6 0.7129 0.2213 0.7536
S7 0.2107 0.2102 0.4233
S8 0.2615 0.7250 0.2678

4.
Compound: LiAlB3
Source: Alexandria via LeMat-Bulk
Functional: GGA-PBEsol
Structure: relaxed

Properties
Its crystal system is cubic. The space group is No. 221. The calculation puts the total magnetization at 0.0 μB/f.u. The raw total energy comes out at -3.82 eV/atom.

Lattice parameters (Å, degrees): 4.1483 4.1483 4.1483 90.00 90.00 90.00
Sites, in units of the cell vectors:
Li1 0.5000 0.5000 0.5000
B1 0.0000 0.5000 0.0000
B2 0.0000 0.0000 0.5000
B3 0.5000 0.0000 0.0000
Al1 0.0000 0.0000 0.0000

5.
Compound: KInW
Source: Alexandria via LeMat-Bulk
Functional: GGA-PBEsol
Structure: relaxed

Properties
Its crystal system is cubic. The space group is No. 216. For the energy above the most stable polymorph in this dataset, the calculation gives 824 meV per atom. The calculation puts the total magnetization at 2.2 μB/f.u.

Lattice parameters (Å, degrees): 4.8507 4.8507 4.8507 60.00 60.00 60.00
Last column: magnetic moment on the atom in μB.
Sites, in units of the cell vectors:
In1 0.0000 0.0000 0.0000  -0.11
K1 0.5000 0.5000 0.5000  0.02
W1 0.2500 0.2500 0.2500  1.92

6.
Compound: CrIr2
Source: Alexandria via LeMat-Bulk
Functional: GGA-PBEsol
Structure: relaxed

Properties
Its crystal system is monoclinic. The space group is No. 12. The calculation puts the total magnetization at 0.0 μB/f.u. The raw total energy comes out at -10.16 eV/atom.

Lattice parameters (Å, degrees): 2.6748 5.0141 6.2796 103.45 90.00 105.47
Sites, in units of the cell vectors:
Ir1 0.3643 0.7286 0.4715
Ir2 0.3147 0.6294 0.8685
Ir3 0.6853 0.3706 0.1315
Ir4 0.6357 0.2714 0.5285
Cr1 0.0297 0.0593 0.8076
Cr2 0.9703 0.9407 0.1924